A plane-wave DFT calculation with GGA-PBE was carried out for NdGd2Zr after structural relaxation.

Values from the calculation:
The calculation puts the density of states at the Fermi level at 5.495 states/eV/f.u. As for the electronic total energy: -40.7 eV for the cell shown. The polymorph energy (0 for the lowest one) is 125 meV/atom.

abc: 5.568 5.568 5.568
angles: 60.00 60.00 60.00
Site moments in Bohr magnetons follow the coordinates.
Element x y z (fractional)
Gd1 0.250 0.250 0.250  7.35
Zr1 0.500 0.500 0.500  0.77
Nd1 0.000 0.000 0.000  0.14
Gd2 0.750 0.750 0.750  7.35